A plane-wave DFT calculation with PBE was carried out for an optimized crystal structure of Rb2BaMoBr6.

The calculation puts the mass density at 3.845 Mg/m³. The value obtained for the volume is 38.2 Å³/atom. Its final energy is -149.40 eV for the cell shown. The value obtained for the total moment is 8.00 μB/cell.

The space group is Fm-3m (No. 225) and the conventional cell measures 11.514, 11.514 and 11.514 Å, with angles of 90.00, 90.00 and 90.00 degrees. The distinct sites, in fractional coordinates, are Rb at (0.250, 0.250, 0.250), Ba at (0.000, 0.000, 0.000), Mo at (0.000, 0.000, 0.500) and Br at (0.000, 0.000, 0.272).